ZrHgMo2: optimized geometry, GGA-PBE.

energy of formation = 0.239 eV per atom
crystal system = orthorhombic

a = 3.956 Å, b = 4.150 Å, c = 4.444 Å
α = 90.00°, β = 90.00°, γ = 90.00°
Element x y z (fractional)
Mo (0.500, 0.500, 0.000)
Mo (0.000, 0.000, 0.000)
Zr (0.500, 0.000, 0.500)
Hg (0.000, 0.500, 0.500)